(1)
This record from the Alexandria database describes a relaxed structure of Y2CdNi. The functional is GGA-PBE.

Summary:
- total energy (eV/f.u.) = -19.8
- volume (Å³/cell) = 340
- density (Mg/m³) = 6.8
- energy of formation (eV/atom) = -0.0415
- crystal system = cubic

Cell lengths 6.981, 6.981, 6.981 Å; angles 90.00, 90.00, 90.00 degrees
Space group F-43m (No. 216)
Unique sites:
Y  0.000  0.000  0.000 [4 per cell]
Y  0.250  0.250  0.250 [4 per cell]
Cd  0.250  0.250  0.750 [4 per cell]
Ni  0.000  0.000  0.500 [4 per cell]

---

(2)
This record from the Alexandria database describes a relaxed structure of BaEuIn. The functional is GGA-PBE.

Summary:
- polymorph energy (0 for the lowest one) (meV/atom) = 0
- total energy (eV/f.u.) = -15.8
- volume (Å³/cell) = 246
- density (Mg/m³) = 5.4
- energy of formation (eV/atom) = -0.2957
- crystal system = tetragonal

Cell lengths 4.182, 4.182, 14.092 Å; angles 90.00, 90.00, 90.00 degrees
Space group I4mm (No. 107)
Unique sites:
Ba  0.000  0.000  0.000 [2 per cell]
Eu  0.000  0.000  0.728 [2 per cell]
In  0.000  0.000  0.344 [2 per cell]

---

> Which formula does entry 1 have?

Y2CdNi

---

> Look up the volume of the first one.

340 Å³/cell